# 1
The following is a GGA-PBE calculation of Ba2BIr after structural relaxation, from OQMD.

Calculated values
Total magnetization, μB/f.u.: 0.1
Total energy, eV per atom: -3.860
Density, kg/m³: 8188

a = 5.155 Å, b = 5.155 Å, c = 5.155 Å
α = 60.00°, β = 60.00°, γ = 60.00°
Atoms (fractional coordinates):
Ba1 0.000 0.000 0.000
Ba2 0.250 0.250 0.250
B1 0.500 0.500 0.500
Ir1 0.750 0.750 0.750


# 2
The following is a GGA-PBE calculation of PmHgSeO after structural relaxation, from OQMD.

Calculated values
Total magnetization, μB/f.u.: 0.0
Total energy, eV per atom: -5.199
Density, kg/m³: 7481

a = 5.800 Å, b = 5.826 Å, c = 11.582 Å
α = 90.00°, β = 91.91°, γ = 90.00°
Atoms (fractional coordinates):
Pm1 0.004 0.000 0.096
Pm2 0.494 0.001 0.902
Pm3 0.506 0.501 0.098
Pm4 0.996 0.500 0.904
Hg1 0.200 0.777 0.498
Hg2 0.492 0.028 0.323
Hg3 0.508 0.528 0.677
Hg4 0.800 0.277 0.502
Se1 0.182 0.330 0.285
Se2 0.202 0.225 0.707
Se3 0.798 0.725 0.293
Se4 0.818 0.830 0.715
O1 0.250 0.749 0.000
O2 0.254 0.248 0.999
O3 0.746 0.748 0.001
O4 0.750 0.249 0.000


# 3
The following is a GGA-PBE calculation of Cu2Ag after structural relaxation, from OQMD.

Calculated values
ΔH_f (0 K), eV per atom: 0.092
Total energy, eV per atom: -3.328
Density, kg/m³: 9341

a = 7.115 Å, b = 7.115 Å, c = 6.516 Å
α = 91.30°, β = 91.30°, γ = 22.34°
Atoms (fractional coordinates):
Cu1 0.000 0.000 0.000
Cu2 0.101 0.101 0.663
Cu3 0.448 0.448 0.681
Cu4 0.547 0.547 0.330
Cu5 0.651 0.651 0.977
Cu6 0.762 0.762 0.662
Ag1 0.207 0.207 0.324
Ag2 0.327 0.327 0.983
Ag3 0.887 0.887 0.351


# 4
The following is a GGA-PBE calculation of LiZrPb after structural relaxation, from OQMD.

Calculated values
Total magnetization, μB/f.u.: 0.0
Total energy, eV per atom: -4.609
Density, kg/m³: 7967

a = 4.482 Å, b = 4.482 Å, c = 4.482 Å
α = 60.00°, β = 60.00°, γ = 60.00°
Atoms (fractional coordinates):
Li1 0.000 0.000 0.000
Zr1 0.250 0.250 0.250
Pb1 0.750 0.750 0.750


# 5
The following is a GGA-PBE calculation of Nd2Co14B after structural relaxation, from OQMD.

Calculated values
Total magnetization, μB/f.u.: 18.3
Total energy, eV per atom: -6.923
Density, kg/m³: 8537

a = 8.601 Å, b = 8.601 Å, c = 11.825 Å
α = 90.00°, β = 90.00°, γ = 90.00°
Atoms (fractional coordinates):
Nd1 0.145 0.145 0.000
Nd2 0.225 0.225 0.500
Nd3 0.275 0.725 0.000
Nd4 0.355 0.645 0.500
Nd5 0.645 0.355 0.500
Nd6 0.725 0.275 0.000
Nd7 0.775 0.775 0.500
Nd8 0.855 0.855 0.000
Co1 0.000 0.000 0.383
Co2 0.000 0.000 0.617
Co3 0.000 0.500 0.000
Co4 0.000 0.500 0.500
Co5 0.036 0.640 0.179
Co6 0.036 0.640 0.821
Co7 0.070 0.724 0.373
Co8 0.070 0.724 0.627
Co9 0.099 0.901 0.206
Co10 0.099 0.901 0.794
Co11 0.140 0.464 0.321
Co12 0.140 0.464 0.679
Co13 0.182 0.182 0.253
Co14 0.182 0.182 0.747
Co15 0.224 0.430 0.127
Co16 0.224 0.430 0.873
Co17 0.276 0.930 0.373
Co18 0.276 0.930 0.627
Co19 0.318 0.682 0.247
Co20 0.318 0.682 0.753
Co21 0.360 0.964 0.179
Co22 0.360 0.964 0.821
Co23 0.401 0.401 0.294
Co24 0.401 0.401 0.706
Co25 0.430 0.224 0.127
Co26 0.430 0.224 0.873
Co27 0.464 0.140 0.321
Co28 0.464 0.140 0.679
Co29 0.500 0.000 0.000
Co30 0.500 0.000 0.500
Co31 0.500 0.500 0.117
Co32 0.500 0.500 0.883
Co33 0.536 0.860 0.321
Co34 0.536 0.860 0.679
Co35 0.570 0.776 0.127
Co36 0.570 0.776 0.873
Co37 0.599 0.599 0.294
Co38 0.599 0.599 0.706
Co39 0.640 0.036 0.179
Co40 0.640 0.036 0.821
Co41 0.682 0.318 0.247
Co42 0.682 0.318 0.753
Co43 0.724 0.070 0.373
Co44 0.724 0.070 0.627
Co45 0.776 0.570 0.127
Co46 0.776 0.570 0.873
Co47 0.818 0.818 0.253
Co48 0.818 0.818 0.747
Co49 0.860 0.536 0.321
Co50 0.860 0.536 0.679
Co51 0.901 0.099 0.206
Co52 0.901 0.099 0.794
Co53 0.930 0.276 0.373
Co54 0.930 0.276 0.627
Co55 0.964 0.360 0.179
Co56 0.964 0.360 0.821
B1 0.122 0.878 0.500
B2 0.378 0.378 0.000
B3 0.622 0.622 0.000
B4 0.878 0.122 0.500


# 6
The following is a GGA-PBE calculation of Cd3H2CSeO8 after structural relaxation, from OQMD.

Calculated values
Total energy, eV per atom: -5.241
Density, kg/m³: 5231

a = 6.518 Å, b = 10.468 Å, c = 10.387 Å
α = 90.00°, β = 90.00°, γ = 90.00°
Atoms (fractional coordinates):
Cd1 0.031 0.045 0.167
Cd2 0.031 0.455 0.167
Cd3 0.244 0.250 0.875
Cd4 0.256 0.750 0.375
Cd5 0.469 0.545 0.667
Cd6 0.469 0.955 0.667
Cd7 0.531 0.045 0.333
Cd8 0.531 0.455 0.333
Cd9 0.744 0.250 0.625
Cd10 0.756 0.750 0.125
Cd11 0.969 0.545 0.833
Cd12 0.969 0.955 0.833
H1 0.138 0.508 0.407
H2 0.138 0.992 0.407
H3 0.362 0.008 0.907
H4 0.362 0.492 0.907
H5 0.638 0.508 0.093
H6 0.638 0.992 0.093
H7 0.862 0.008 0.593
H8 0.862 0.492 0.593
C1 0.121 0.750 0.646
C2 0.379 0.250 0.146
C3 0.621 0.750 0.854
C4 0.879 0.250 0.354
Se1 0.247 0.250 0.523
Se2 0.253 0.750 0.023
Se3 0.747 0.250 0.977
Se4 0.753 0.750 0.477
O1 0.048 0.750 0.763
O2 0.073 0.628 0.039
O3 0.073 0.872 0.039
O4 0.115 0.250 0.665
O5 0.156 0.643 0.588
O6 0.156 0.857 0.588
O7 0.208 0.536 0.329
O8 0.208 0.964 0.329
O9 0.292 0.036 0.829
O10 0.292 0.464 0.829
O11 0.344 0.143 0.088
O12 0.344 0.357 0.088
O13 0.385 0.750 0.165
O14 0.427 0.128 0.539
O15 0.427 0.372 0.539
O16 0.452 0.250 0.263
O17 0.548 0.750 0.737
O18 0.573 0.628 0.461
O19 0.573 0.872 0.461
O20 0.615 0.250 0.835
O21 0.656 0.643 0.912
O22 0.656 0.857 0.912
O23 0.708 0.536 0.171
O24 0.708 0.964 0.171
O25 0.792 0.036 0.671
O26 0.792 0.464 0.671
O27 0.844 0.143 0.412
O28 0.844 0.357 0.412
O29 0.885 0.750 0.335
O30 0.927 0.128 0.961
O31 0.927 0.372 0.961
O32 0.952 0.250 0.237


# 7
The following is a GGA-PBE calculation of CoSn10S10 after structural relaxation, from OQMD.

Calculated values
Total magnetization, μB/f.u.: 0.0
Total energy, eV per atom: -4.478
Density, kg/m³: 4906

a = 11.239 Å, b = 11.354 Å, c = 8.312 Å
α = 90.00°, β = 90.00°, γ = 90.00°
Atoms (fractional coordinates):
Co1 0.000 0.000 0.000
Co2 0.500 0.500 0.000
Sn1 0.000 0.500 0.238
Sn2 0.000 0.500 0.762
Sn3 0.124 0.093 0.243
Sn4 0.124 0.093 0.757
Sn5 0.142 0.825 0.000
Sn6 0.234 0.818 0.500
Sn7 0.266 0.318 0.500
Sn8 0.358 0.325 0.000
Sn9 0.376 0.593 0.243
Sn10 0.376 0.593 0.757
Sn11 0.500 0.000 0.238
Sn12 0.500 0.000 0.762
Sn13 0.624 0.407 0.243
Sn14 0.624 0.407 0.757
Sn15 0.642 0.675 0.000
Sn16 0.734 0.682 0.500
Sn17 0.766 0.182 0.500
Sn18 0.858 0.175 0.000
Sn19 0.876 0.907 0.243
Sn20 0.876 0.907 0.757
S1 0.004 0.177 0.500
S2 0.133 0.598 0.000
S3 0.180 0.316 0.196
S4 0.180 0.316 0.804
S5 0.218 0.555 0.500
S6 0.282 0.055 0.500
S7 0.320 0.816 0.196
S8 0.320 0.816 0.804
S9 0.367 0.098 0.000
S10 0.496 0.677 0.500
S11 0.504 0.323 0.500
S12 0.633 0.902 0.000
S13 0.680 0.184 0.196
S14 0.680 0.184 0.804
S15 0.718 0.945 0.500
S16 0.782 0.445 0.500
S17 0.820 0.684 0.196
S18 0.820 0.684 0.804
S19 0.867 0.402 0.000
S20 0.996 0.823 0.500


# 8
The following is a GGA-PBE calculation of Pr4C2I5 after structural relaxation, from OQMD.

Calculated values
Total magnetization, μB/f.u.: 0.0
Total energy, eV per atom: -5.201
Density, kg/m³: 5621

a = 10.391 Å, b = 10.391 Å, c = 8.900 Å
α = 102.94°, β = 102.94°, γ = 22.70°
Atoms (fractional coordinates):
Pr1 0.000 0.000 0.191
Pr2 0.000 0.000 0.809
Pr3 0.349 0.349 0.919
Pr4 0.651 0.651 0.081
C1 0.465 0.465 0.982
C2 0.535 0.535 0.018
I1 0.161 0.161 0.358
I2 0.167 0.167 0.813
I3 0.500 0.500 0.500
I4 0.833 0.833 0.187
I5 0.839 0.839 0.642


# 9
The following is a GGA-PBE calculation of LiReNO after structural relaxation, from OQMD.

Calculated values
Total magnetization, μB/f.u.: 0.0
Total energy, eV per atom: -7.643
Density, kg/m³: 10468

a = 4.149 Å, b = 4.149 Å, c = 4.113 Å
α = 90.00°, β = 90.00°, γ = 90.00°
Atoms (fractional coordinates):
Li1 0.250 0.250 0.001
Li2 0.750 0.750 0.999
Re1 0.250 0.750 0.500
Re2 0.750 0.250 0.500
N1 0.250 0.250 0.500
N2 0.750 0.750 0.500
O1 0.250 0.750 0.000
O2 0.750 0.250 0.000


# 10
The following is a GGA-PBE calculation of CoGe after structural relaxation, from OQMD.

Calculated values
Total magnetization, μB/f.u.: 0.0
Total energy, eV per atom: -5.649
Density, kg/m³: 7810

a = 3.407 Å, b = 3.407 Å, c = 3.407 Å
α = 60.00°, β = 60.00°, γ = 60.00°
Atoms (fractional coordinates):
Co1 0.000 0.000 0.000
Ge1 0.500 0.500 0.500


# 11
The following is a GGA-PBE calculation of LuBIr2 after structural relaxation, from OQMD.

Calculated values
Total magnetization, μB/f.u.: 0.1
Total energy, eV per atom: -6.879
Density, kg/m³: 15539

a = 4.417 Å, b = 4.417 Å, c = 4.417 Å
α = 60.00°, β = 60.00°, γ = 60.00°
Atoms (fractional coordinates):
Lu1 0.000 0.000 0.000
B1 0.750 0.750 0.750
Ir1 0.250 0.250 0.250
Ir2 0.500 0.500 0.500


# 12
The following is a GGA-PBE calculation of AcAl5Pd2 after structural relaxation, from OQMD.

Calculated values
Total magnetization, μB/f.u.: 0.0
Total energy, eV per atom: -4.846
Density, kg/m³: 6173

a = 6.574 Å, b = 6.574 Å, c = 6.574 Å
α = 142.82°, β = 112.46°, γ = 79.70°
Atoms (fractional coordinates):
Ac1 0.000 0.000 0.000
Al1 0.161 0.348 0.813
Al2 0.464 0.652 0.813
Al3 0.500 0.000 0.500
Al4 0.536 0.348 0.187
Al5 0.839 0.652 0.187
Pd1 0.262 0.762 0.500
Pd2 0.738 0.238 0.500


The highest density belongs to which entry? LuBIr2